# 1
The following is a PBE calculation of Er2In8Ru after structural relaxation, from Alexandria via LeMat-Bulk.

Cell: 4.622 4.622 12.209 Å, 90.00 90.00 90.00°
Space group P4/mmm (No. 123)
Inequivalent atoms, fractional coordinates:
Er  0.000  0.000  0.192
In  0.000  0.500  0.000
In  0.000  0.500  0.377
In  0.500  0.500  0.190
Ru  0.000  0.000  0.500


# 2
The following is a PBE calculation of Er5InRu3 after structural relaxation, from Alexandria via LeMat-Bulk.

Cell: 12.050 8.859 9.799 Å, 90.00 112.14 90.00°
Space group C2/m (No. 12)
Inequivalent atoms, fractional coordinates:
Er  0.000  0.204  0.000
Er  0.046  0.000  0.355
Er  0.174  0.305  0.652
Er  0.236  0.500  0.044
In  0.081  0.500  0.290
Ru  0.000  0.500  0.000
Ru  0.000  0.500  0.500
Ru  0.162  0.000  0.165
Ru  0.181  0.000  0.651


The evaluated ΔH_f (0 K) for the records listed, in turn: -29.1 -15.5 kJ/mol of atoms.
The evaluated mass density for the records listed, in turn: 8.62 8.60 g cm⁻³.